This record from Alexandria describes an optimized crystal structure of Sc3Zn7Au2. The functional is PBE-GGA.

Cell lengths 9.136, 9.136, 9.136 Å; angles 33.54, 33.54, 33.54 degrees
Positions (direct):
1 Sc 0.000 0.000 0.000
2 Sc 0.146 0.146 0.146
3 Sc 0.854 0.854 0.854
4 Zn 0.079 0.591 0.591
5 Zn 0.409 0.409 0.921
6 Zn 0.409 0.921 0.409
7 Zn 0.500 0.500 0.500
8 Zn 0.591 0.079 0.591
9 Zn 0.591 0.591 0.079
10 Zn 0.921 0.409 0.409
11 Au 0.335 0.335 0.335
12 Au 0.665 0.665 0.665

Summary:
**Calculated volume**: 17.3 Å³/atom
**Energy of formation from the pure elements**: -4.33 eV/f.u.
**D(E_F)**: 0.753 states/eV/atom

This record from Alexandria describes an optimized crystal structure of Na2LiO. The functional is PBE-GGA.

Cell lengths 7.012, 7.012, 9.870 Å; angles 90.00, 90.00, 90.00 degrees
Positions (direct):
1 Na 0.006 0.750 0.125
2 Na 0.250 0.006 0.875
3 Na 0.250 0.494 0.375
4 Na 0.494 0.750 0.625
5 Na 0.506 0.250 0.625
6 Na 0.750 0.506 0.375
7 Na 0.750 0.994 0.875
8 Na 0.994 0.250 0.125
9 Li 0.000 0.000 0.500
10 Li 0.000 0.500 0.750
11 Li 0.500 0.000 0.250
12 Li 0.500 0.500 0.000
13 O 0.000 0.000 0.000
14 O 0.000 0.500 0.250
15 O 0.500 0.000 0.750
16 O 0.500 0.500 0.500

Summary:
**ΔE_f (raw)**: -0.528 eV/atom
**Calculated volume**: 30.3 Å³/atom
**D(E_F)**: 0.153 states/eV/atom

This record from Alexandria describes an optimized crystal structure of Ac2ErTe5Au. The functional is PBE-GGA.

Cell lengths 10.059, 10.059, 13.442 Å; angles 90.00, 90.00, 154.17 degrees
Positions (direct):
1 Ac 0.114 0.886 0.500
2 Ac 0.124 0.876 0.121
3 Ac 0.876 0.124 0.621
4 Ac 0.886 0.114 0.000
5 Er 0.188 0.812 0.820
6 Er 0.812 0.188 0.320
7 Te 0.042 0.958 0.877
8 Te 0.289 0.711 0.476
9 Te 0.303 0.697 0.158
10 Te 0.350 0.650 0.813
11 Te 0.500 0.500 0.088
12 Te 0.500 0.500 0.588
13 Te 0.650 0.350 0.313
14 Te 0.697 0.303 0.658
15 Te 0.711 0.289 0.976
16 Te 0.958 0.042 0.377
17 Au 0.426 0.574 0.268
18 Au 0.574 0.426 0.768

Summary:
**ΔE_f (raw)**: -1.302 eV/atom
**Calculated volume**: 32.9 Å³/atom
**D(E_F)**: 0.008 states/eV/atom